No. 1
# ScHPd3

ScHPd3 after structural relaxation (PBE-GGA, the Alexandria database).

a b c (Å): 5.6575 5.6576 8.3246
angles (deg): 90.00 90.00 90.00
Space group Imm2 (No. 44)
Unique sites:
Sc 0.0000 0.0000 0.0000 x2
Sc 0.0000 0.0000 0.4718 x2
H 0.0000 0.0000 0.7357 x2
H 0.0000 0.5000 0.2486 x2
Pd 0.0000 0.5000 0.4879 x2
Pd 0.0000 0.5000 0.9838 x2
Pd 0.2469 0.2503 0.7356 x8

Magnetic moment (μB per formula unit): 0.0
Uncorrected energy (eV/atom): -5.7451

***

No. 2
# SmThCu10

SmThCu10 after structural relaxation (PBE-GGA, the Alexandria database).

a b c (Å): 4.1151 5.1367 8.7970
angles (deg): 90.00 90.00 90.00
Space group Pmmm (No. 47)
Unique sites:
Sm 0.0000 0.0000 0.0000 x1
Th 0.0000 0.5000 0.5000 x1
Cu 0.0000 0.0000 0.3317 x2
Cu 0.0000 0.5000 0.1645 x2
Cu 0.5000 0.0000 0.5000 x1
Cu 0.5000 0.2510 0.2506 x4
Cu 0.5000 0.5000 0.0000 x1

Magnetic moment (μB per formula unit): 0.0
Uncorrected energy (eV/atom): -4.5806
Energy of formation (eV per atom): -0.156

***

No. 3
# CsSmMnSe4

CsSmMnSe4 after structural relaxation (PBE-GGA, the Alexandria database).

a b c (Å): 6.7156 6.7775 10.0513
angles (deg): 90.00 108.97 90.00
Space group P2_1/m (No. 11)
Unique sites:
Cs 0.2405 0.2500 0.4401 x2
Sm 0.2688 0.2500 0.9540 x2
Mn 0.2842 0.7500 0.1682 x2
Se 0.0840 0.7500 0.3159 x2
Se 0.0952 0.7500 0.9318 x2
Se 0.4749 0.5090 0.7965 x4

Magnetic moment (μB per formula unit): 3.0
Uncorrected energy (eV/atom): -5.2096
Formation energy without anion corrections (eV/f.u.): -7.8